(1)
GdHoAlCd | Alexandria | PBE | optimized geometry; D(E_F) = 0.852 states/eV/atom
1.0
0.000 3.691 3.691
3.691 0.000 3.691
3.691 3.691 0.000
Gd Ho Al Cd
1 1 1 1
direct
0.000 0.000 0.000
0.500 0.500 0.500
0.250 0.250 0.250
0.750 0.750 0.750

=====

(2)
Pm2AlSi2Ru5 | Alexandria | PBE | optimized geometry; D(E_F) = 0.571 states/eV/atom; energy relative to the elements, uncorrected = -0.570 eV/atom
1.0
10.084 0.000 0.000
0.000 10.084 0.000
0.000 0.000 3.249
Pm Al Si Ru
4 2 4 10
direct
0.174 0.326 0.000
0.326 0.826 0.000
0.674 0.174 0.000
0.826 0.674 0.000
0.000 0.000 0.000
0.500 0.500 0.000
0.127 0.627 0.000
0.373 0.127 0.000
0.627 0.873 0.000
0.873 0.373 0.000
0.000 0.500 0.500
0.066 0.792 0.500
0.208 0.066 0.500
0.292 0.566 0.500
0.434 0.292 0.500
0.500 0.000 0.500
0.566 0.708 0.500
0.708 0.434 0.500
0.792 0.934 0.500
0.934 0.208 0.500

=====

(3)
SmGd2Mg | Alexandria | PBE | optimized geometry; D(E_F) = 1.225 states/eV/atom; energy above the lowest structure with this stoichiometry = 80 meV/atom
1.0
0.000 3.927 3.927
3.927 0.000 3.927
3.927 3.927 0.000
Sm Gd Mg
1 2 1
direct
0.000 0.000 0.000
0.250 0.250 0.250
0.750 0.750 0.750
0.500 0.500 0.500

=====

(4)
CuTeO4 | Alexandria | PBE | optimized geometry; D(E_F) = 0.313 states/eV/atom; energy relative to the elements, uncorrected = -0.753 eV/atom
1.0
5.759 0.000 0.000
0.000 4.827 0.000
-2.393 0.000 5.087
Cu Te O
2 2 8
direct
0.000 0.000 0.000
0.000 0.500 0.500
0.500 0.000 0.500
0.500 0.500 0.000
0.169 0.172 0.347
0.169 0.328 0.847
0.355 0.712 0.662
0.355 0.788 0.162
0.645 0.212 0.838
0.645 0.288 0.338
0.831 0.672 0.153
0.831 0.828 0.653

=====

(5)
HgAs2Pb | Alexandria | PBE | optimized geometry; D(E_F) = 0.409 states/eV/atom; energy above the lowest structure with this stoichiometry = 84 meV/atom
1.0
3.657 0.000 0.000
0.000 3.657 0.000
0.000 0.000 7.799
Hg As Pb
1 2 1
direct
0.000 0.000 0.000
0.000 0.000 0.572
0.500 0.500 0.689
0.500 0.500 0.308

=====

(6)
Na3TcNi | Alexandria | PBE | optimized geometry; D(E_F) = 0.933 states/eV/atom
1.0
5.187 0.000 0.000
0.000 5.187 0.000
0.000 0.000 5.187
Na Tc Ni
3 1 1
direct
0.000 0.000 0.500
0.000 0.500 0.000
0.500 0.000 0.000
0.500 0.500 0.500
0.000 0.000 0.000

=====

| no. | M_tot (μB/f.u.) | E_tot (eV/atom) |
| --- | --- | --- |
| 1 | 7.53 | -6.182 |
| 2 | 0.00 | -7.617 |
| 3 | 15.17 | -8.573 |
| 4 | 0.88 | -5.265 |
| 5 | 0.00 | -3.193 |
| 6 | 4.09 | -2.653 |